1.
## Sm7Cu2Hg2 (PBE)

Data for an optimized crystal structure of Sm7Cu2Hg2.

Geometry as POSCAR:
```
Sm7Cu2Hg2
1.0
3.983 -5.657 0.000
3.983 5.657 0.000
0.000 0.000 7.248
Sm Cu Hg
7 2 2
Direct
0.000 0.000 0.000 Sm
0.000 0.500 0.259 Sm
0.000 0.500 0.741 Sm
0.500 0.000 0.259 Sm
0.500 0.000 0.741 Sm
0.500 0.500 0.245 Sm
0.500 0.500 0.755 Sm
0.298 0.702 0.000 Cu
0.702 0.298 0.000 Cu
0.179 0.179 0.500 Hg
0.821 0.821 0.500 Hg
```

Results
- total energy (eV/cell) = -42.39
- V (Å³/cell) = 327
- formation enthalpy at 0 K (kJ/mol of atoms) = -5

2.
## SmCuHg2 (PBE)

Data for an optimized crystal structure of SmCuHg2.

Geometry as POSCAR:
```
SmCuHg2
1.0
4.454 0.000 0.000
0.000 4.454 0.000
0.000 0.000 4.666
Sm Cu Hg
1 1 2
Direct
0.000 0.000 0.000 Sm
0.500 0.500 0.000 Cu
0.000 0.500 0.500 Hg
0.500 0.000 0.500 Hg
```

Results
- total energy (eV/cell) = -9.98
- V (Å³/cell) = 93
- formation enthalpy at 0 K (kJ/mol of atoms) = -14

3.
## SmCuHg (PBE)

Data for an optimized crystal structure of SmCuHg.

Geometry as POSCAR:
```
SmCuHg
1.0
0.000 3.306 3.306
3.306 0.000 3.306
3.306 3.306 0.000
Sm Cu Hg
1 1 1
Direct
0.000 0.000 0.000 Sm
0.250 0.250 0.250 Cu
0.500 0.500 0.500 Hg
```

Results
- total energy (eV/cell) = -9.73
- V (Å³/cell) = 72
- formation enthalpy at 0 K (kJ/mol of atoms) = -20